Entry 1:
Compound: TaCoRh2
Source: the Alexandria database
Functional: PBE
Structure: relaxed

The structure in POSCAR format:
```
TaCoRh2
1.0
1.3846 0.7994 8.7934
-1.3846 0.7994 8.7934
0.0000 -1.5988 8.7934
Ta Co Rh
1 1 2
Cartesian
0.0000 0.0000 0.0000
0.0000 0.0000 19.8189
0.0000 0.0000 6.5559
0.0000 0.0000 13.0348
```

Calculated values
**Energy relative to the elements**: 0.19 eV per formula unit
**Mass density**: 12.67 g cm⁻³
**V**: 58 Å³/cell
**Calculated total energy**: -8.368 eV/atom



Entry 2:
Compound: Ba2Cd2F
Source: the Alexandria database
Functional: PBE
Structure: relaxed

The structure in POSCAR format:
```
Ba2Cd2F
1.0
7.7851 0.0000 0.0000
0.0000 7.7851 0.0000
0.0000 0.0000 5.8887
Ba Cd F
4 4 2
Cartesian
1.5127 2.3799 0.0000
2.3799 6.2724 0.0000
5.4052 1.5127 0.0000
6.2724 5.4052 0.0000
0.9935 4.8860 2.9443
2.8991 0.9935 2.9443
4.8860 6.7916 2.9443
6.7916 2.8991 2.9443
0.0000 0.0000 0.0000
3.8925 3.8925 0.0000
```

Calculated values
**Mass density**: 4.82 g cm⁻³
**ΔE_f (raw)**: -531 kJ/mol of formula units
**V**: 357 Å³/cell
**Calculated total energy**: -2.611 eV/atom



Entry 3:
Compound: Tm5MgPd6
Source: the Alexandria database
Functional: PBE
Structure: relaxed

The structure in POSCAR format:
```
Tm5MgPd6
1.0
4.1854 -7.2580 0.0000
4.1854 7.2580 0.0000
-2.7981 0.0000 3.9709
Tm Mg Pd
5 1 6
Cartesian
0.0000 0.0000 0.0000
2.7863 4.8085 1.9854
4.1854 2.3123 0.0000
4.1854 -2.3123 0.0000
2.7863 -4.8085 1.9854
2.7863 0.0000 1.9854
1.3806 2.4331 0.9856
-0.0519 0.0000 2.9339
1.3806 -2.4331 0.9856
4.1921 2.4331 2.9853
5.6246 0.0000 1.0369
4.1921 -2.4331 2.9853
```

Calculated values
**Energy relative to the elements**: -10.87 eV per formula unit
**Mass density**: 10.38 g cm⁻³
**V**: 241 Å³/cell
**Calculated total energy**: -5.498 eV/atom